(1)
The following is a PBE-GGA calculation of a geometry-optimized Ca2AcMg structure, from the Alexandria database.

Summary:
- DOS at the Fermi energy (states/eV/f.u.) = 4.0
- theoretical density (g/cm3) = 3.59
- DFT total energy (Ry per atom) = -0.180

a b c (Å): 5.6913 5.6913 10.2878
angles (deg): 106.08 106.08 90.00
Last column: nearest neighbours and their distance in Å.
Sites, in units of the cell vectors:
Ac (0.6443, 0.6443, 0.7893)  4 Mg 3.47-3.48
Ca (0.5000, 0.0000, 0.5000)  4 Ac 3.95, 8 Ca 3.98-4.02
Ca (0.0000, 0.5000, 0.5000)  4 Ac 3.95, 8 Ca 3.98-4.02
Ca (0.1470, 0.1470, 0.7935)  4 Mg 3.45
Ca (0.8530, 0.8530, 0.2065)  4 Mg 3.45
Mg (0.7504, 0.2496, 0.0000)  4 Ca 3.45, 4 Ac 3.47-3.48
Ac (0.3557, 0.3557, 0.2107)  4 Mg 3.47-3.48
Mg (0.2496, 0.7504, 0.0000)  4 Ca 3.45, 4 Ac 3.47-3.48

(2)
The following is a PBE-GGA calculation of a geometry-optimized TaMn2Zn2 structure, from the Alexandria database.

Summary:
- DOS at the Fermi energy (states/eV/f.u.) = 3.2
- theoretical density (g/cm3) = 10.20
- DFT total energy (Ry per atom) = -0.461

a b c (Å): 6.9193 6.9193 2.8667
angles (deg): 90.00 90.00 90.00
Last column: nearest neighbours and their distance in Å.
Sites, in units of the cell vectors:
Ta (0.0000, 0.0000, 0.0000)  4 Mn 2.82, 2 Ta 2.87, 8 Zn 2.90
Zn (0.6859, 0.8141, 0.5000)  6 Mn 2.49-2.54
Mn (0.1059, 0.3941, 0.0000)  1 Mn 2.07
Ta (0.5000, 0.5000, 0.0000)  4 Mn 2.82, 2 Ta 2.87, 8 Zn 2.90
Zn (0.8141, 0.3141, 0.5000)  6 Mn 2.49-2.54
Zn (0.3141, 0.1859, 0.5000)  6 Mn 2.49-2.54
Zn (0.1859, 0.6859, 0.5000)  6 Mn 2.49-2.54
Mn (0.6059, 0.1059, 0.0000)  1 Mn 2.07
Mn (0.3941, 0.8941, 0.0000)  1 Mn 2.07
Mn (0.8941, 0.6059, 0.0000)  1 Mn 2.07

(3)
The following is a PBE-GGA calculation of a geometry-optimized K3TaAl2O8 structure, from the Alexandria database.

Summary:
- DOS at the Fermi energy (states/eV/f.u.) = 6.2
- theoretical density (g/cm3) = 3.70
- raw formation energy (eV/atom) = -2.252
- DFT total energy (Ry per atom) = -0.493

a b c (Å): 5.7026 5.7026 7.6543
angles (deg): 90.00 90.00 120.00
Last column: nearest neighbours and their distance in Å.
Sites, in units of the cell vectors:
O (0.1650, 0.8350, 0.3488)  1 Al 1.77
O (0.3333, 0.6667, 0.0400)  1 Al 1.77
Al (0.3333, 0.6667, 0.2710)  4 O 1.77
Al (0.6667, 0.3333, 0.7290)  4 O 1.77
Ta (0.0000, 0.0000, 0.5000)  6 O 2.00
O (0.8350, 0.6699, 0.6512)  1 Al 1.77
O (0.8350, 0.1650, 0.6512)  1 Al 1.77
O (0.6699, 0.8350, 0.3488)  1 Al 1.77
O (0.3301, 0.1650, 0.6512)  1 Al 1.77
K (0.3333, 0.6667, 0.7007)  7 O 2.60-2.88
K (0.0000, 0.0000, 0.0000)  12 O 3.13-3.31
O (0.6667, 0.3333, 0.9600)  1 Al 1.77
O (0.1650, 0.3301, 0.3488)  1 Al 1.77
K (0.6667, 0.3333, 0.2993)  7 O 2.60-2.88

(4)
The following is a PBE-GGA calculation of a geometry-optimized CeZr2Sn structure, from the Alexandria database.

Summary:
- DOS at the Fermi energy (states/eV/f.u.) = 5.1
- theoretical density (g/cm3) = 7.55
- DFT total energy (Ry per atom) = -0.493

a b c (Å): 3.1631 3.1631 11.3560
angles (deg): 81.99 81.99 60.00
Last column: nearest neighbours and their distance in Å.
Sites, in units of the cell vectors:
Sn (0.5000, 0.5000, 0.5000)  6 Zr 3.12, 6 Sn 3.16
Ce (0.0000, 0.0000, 0.0000)  2 Zr 3.08, 6 Ce 3.16
Zr (0.9085, 0.9085, 0.2744)  1 Ce 3.08, 3 Sn 3.12, 6 Zr 3.16
Zr (0.0915, 0.0915, 0.7256)  1 Ce 3.08, 3 Sn 3.12, 6 Zr 3.16